# 1
RePtN | Alexandria via LeMat-Bulk | SCAN | single point on PBEsol structure; energy relative to the elements, uncorrected = -52 meV per atom
1.0
-1.185 -1.637 -1.901
0.966 -1.090 2.362
-4.919 0.796 2.379
Pt N Re
1 1 1
Direct
0.000 0.000 0.471 Pt
0.000 0.000 0.099 N
0.333 0.667 0.871 Re

# 2
RbTlS2 | Alexandria via LeMat-Bulk | SCAN | single point on PBEsol structure; distance to the lowest polymorph of the same formula = 0.526 eV/atom; energy relative to the elements, uncorrected = -190 meV per atom
1.0
5.126 0.000 0.000
2.563 4.439 0.000
2.563 1.480 4.185
Tl S Rb
1 2 1
Direct
0.500 0.500 0.500 Tl
0.750 0.750 0.750 S
0.250 0.250 0.250 S
0.000 0.000 0.000 Rb

# 3
RbRu2Pt | Alexandria via LeMat-Bulk | SCAN | single point on PBEsol structure; energy of formation = 1.433 eV per atom
1.0
4.596 0.000 0.000
2.298 3.980 0.000
2.298 1.327 3.753
Pt Ru Rb
1 2 1
Direct
0.500 0.500 0.500 Pt
0.750 0.750 0.750 Ru
0.250 0.250 0.250 Ru
0.000 0.000 0.000 Rb

# 4
MgI2NF | Alexandria via LeMat-Bulk | SCAN | single point on PBEsol structure; distance to the lowest polymorph of the same formula = 0.823 eV/atom; energy relative to the elements, uncorrected = 663 meV per atom
1.0
-0.952 2.375 2.772
-5.323 -0.908 -1.050
0.006 -4.176 3.581
Mg F I N
1 1 2 1
Direct
0.500 0.500 0.500 Mg
0.000 0.000 0.000 F
0.000 0.000 0.500 I
0.000 0.500 0.000 I
0.500 0.000 0.000 N

# 5
CoCuSbTe2 | Alexandria via LeMat-Bulk | SCAN | single point on PBEsol structure; energy relative to the elements, uncorrected = 718 meV per atom
1.0
-4.025 0.873 2.160
-1.843 -4.381 -1.663
1.723 -2.295 4.137
Te Co Cu Sb
2 1 1 1
Direct
0.000 0.500 0.000 Te
0.000 0.000 0.500 Te
0.000 0.000 0.000 Co
0.500 0.500 0.500 Cu
0.500 0.000 0.000 Sb

# 6
SbI2NCl | Alexandria via LeMat-Bulk | SCAN | single point on PBEsol structure; distance to the lowest polymorph of the same formula = 0.401 eV/atom; energy relative to the elements, uncorrected = 1220 meV per atom
1.0
3.254 0.000 0.000
0.000 6.699 0.000
0.000 0.000 6.699
I Cl Sb N
2 1 1 1
Direct
0.000 0.500 0.000 I
0.000 0.000 0.500 I
0.000 0.000 0.000 Cl
0.500 0.500 0.500 Sb
0.500 0.000 0.000 N

# 7
Tl2SiN | Alexandria via LeMat-Bulk | SCAN | single point on PBEsol structure; energy relative to the elements, uncorrected = 884 meV per atom
1.0
-1.403 -3.928 4.011
5.564 -1.522 0.455
-1.388 6.406 1.614
N Tl Si
2 4 2
Direct
0.500 0.500 0.000 N
0.750 0.250 0.500 N
0.429 0.875 0.250 Tl
0.125 0.179 0.750 Tl
0.821 0.375 0.250 Tl
0.625 0.571 0.750 Tl
0.000 0.000 0.000 Si
0.250 0.750 0.500 Si

# 8
Hf4FeP | Alexandria via LeMat-Bulk | SCAN | single point on PBEsol structure; energy of formation = -0.550 eV per atom
1.0
5.439 0.000 0.000
0.000 6.211 0.000
0.000 0.000 6.211
Fe Hf P
2 8 2
Direct
0.250 0.000 0.000 Fe
0.750 0.000 0.000 Fe
0.000 0.160 0.676 Hf
0.500 0.160 0.324 Hf
0.500 0.676 0.160 Hf
0.000 0.840 0.324 Hf
0.500 0.324 0.840 Hf
0.000 0.324 0.160 Hf
0.000 0.676 0.840 Hf
0.500 0.840 0.676 Hf
0.750 0.500 0.500 P
0.250 0.500 0.500 P

What density of states at the Fermi level values result from the calculations? In sequence: 1.852; 2.804; 2.503; 2.907; 4.879; 3.192; 3.339; 11.737 states/eV/cell.